No. 1
Compound: YCoAu2
Source: Alexandria via LeMat-Bulk
Functional: PBE
Structure: relaxed

Values from the calculation:
- E_form: -0.30 eV/atom

a = 5.241 Å, b = 5.241 Å, c = 5.241 Å
α = 134.08°, β = 134.08°, γ = 66.96°
Fractional positions:
Y1 0.000 0.000 0.000
Co1 0.500 0.500 0.000
Au1 0.250 0.750 0.500
Au2 0.750 0.250 0.500

No. 2
Compound: TaSbTeN2
Source: Alexandria via LeMat-Bulk
Functional: PBE
Structure: relaxed

Values from the calculation:
- Formation energy from raw total energies: 423 meV per atom
- Excess energy over the best structure of this formula in the dataset: 0.000 eV/atom

a = 4.143 Å, b = 4.143 Å, c = 5.727 Å
α = 90.00°, β = 90.00°, γ = 90.00°
Fractional positions:
Ta1 0.000 0.000 0.000
Sb1 0.500 0.500 0.500
Te1 0.000 0.000 0.500
N1 0.000 0.500 0.000
N2 0.500 0.000 0.000

No. 3
Compound: Sm8Cu2Sb
Source: Alexandria via LeMat-Bulk
Functional: PBE
Structure: relaxed

Values from the calculation:
- Formation energy from raw total energies: -159 meV per atom

a = 8.121 Å, b = 8.121 Å, c = 5.476 Å
α = 98.38°, β = 98.38°, γ = 114.65°
Fractional positions:
Sm1 0.075 0.317 0.588
Sm2 0.244 0.756 0.000
Sm3 0.317 0.075 0.588
Sm4 0.394 0.394 0.196
Sm5 0.606 0.606 0.804
Sm6 0.683 0.925 0.412
Sm7 0.756 0.244 0.000
Sm8 0.925 0.683 0.412
Cu1 0.311 0.689 0.500
Cu2 0.689 0.311 0.500
Sb1 0.000 0.000 0.000

No. 4
Compound: AlSiSe2
Source: Alexandria via LeMat-Bulk
Functional: PBE
Structure: relaxed

Values from the calculation:
- Formation energy from raw total energies: 362 meV per atom
- Excess energy over the best structure of this formula in the dataset: 0.731 eV/atom

a = 3.260 Å, b = 4.675 Å, c = 4.917 Å
α = 90.00°, β = 90.00°, γ = 90.00°
Fractional positions:
Al1 0.000 0.000 0.000
Si1 0.500 0.500 0.000
Se1 0.000 0.500 0.500
Se2 0.500 0.000 0.500

No. 5
Compound: ReRu3
Source: Alexandria via LeMat-Bulk
Functional: PBE
Structure: relaxed

Values from the calculation:
- Excess energy over the best structure of this formula in the dataset: 0.399 eV/atom
- E_form: 0.31 eV/atom

a = 4.884 Å, b = 4.884 Å, c = 4.884 Å
α = 90.00°, β = 90.00°, γ = 90.00°
Fractional positions:
Re1 0.000 0.000 0.000
Re2 0.500 0.500 0.500
Ru1 0.000 0.250 0.500
Ru2 0.000 0.750 0.500
Ru3 0.250 0.500 0.000
Ru4 0.500 0.000 0.250
Ru5 0.500 0.000 0.750
Ru6 0.750 0.500 0.000

Number 1: total moment 0.7 μB per formula unit. Number 2: total moment 0.0 μB per formula unit. Number 3: total moment 0.0 μB per formula unit. Number 4: total moment 0.0 μB per formula unit. Number 5: total moment 0.0 μB per formula unit.